1.
Compound: Tb4Sb2N
Source: the Alexandria database
Functional: PBE-GGA
Structure: optimized geometry

Unit cell a=3.8969 b=8.1508 c=8.0193 alpha=133.74 beta=104.06 gamma=90.00
With the nearest neighbours (Å) after each atom.
Positions (direct):
Tb 0.9426 0.2099 0.8852  1 N 2.43
Tb 0.0574 0.7901 0.1148  1 N 2.43
Tb 0.6417 0.2297 0.2835  2 N 2.51
Tb 0.3583 0.7703 0.7165  2 N 2.51
Sb 0.6596 0.6408 0.3191  8 Tb 3.13-3.43
Sb 0.3404 0.3592 0.6809  8 Tb 3.13-3.43
N 0.0000 0.0000 0.0000  6 Tb 2.43-2.51

Values from the calculation:
- energy relative to the elements, uncorrected (eV per formula unit) = -7.2
- relative energy among the computed polymorphs (meV/atom) = 63
- DOS at the Fermi energy (states/eV/cell) = 6.36

2.
Compound: Tb3Sb2N
Source: the Alexandria database
Functional: PBE-GGA
Structure: optimized geometry

Unit cell a=6.4616 b=6.9871 c=6.9871 alpha=105.80 beta=90.00 gamma=90.00
With the nearest neighbours (Å) after each atom.
Positions (direct):
Tb 0.2500 0.3419 0.3419  1 N 2.26
Tb 0.7500 0.6581 0.6581  1 N 2.26
Tb 0.5000 0.1488 0.8512  2 N 2.40
Tb 0.0000 0.1488 0.8512  2 N 2.40
Tb 0.5000 0.8512 0.1488  2 N 2.40
Tb 0.0000 0.8512 0.1488  2 N 2.40
Sb 0.7500 0.4721 0.1668  5 Tb 3.13-3.32, 1 Sb 3.40
Sb 0.2500 0.5279 0.8332  5 Tb 3.13-3.32, 1 Sb 3.40
Sb 0.2500 0.8332 0.5279  5 Tb 3.13-3.32, 1 Sb 3.40
Sb 0.7500 0.1668 0.4721  5 Tb 3.13-3.32, 1 Sb 3.40
N 0.7500 0.9264 0.9264  5 Tb 2.26-2.40
N 0.2500 0.0736 0.0736  5 Tb 2.26-2.40

Values from the calculation:
- energy relative to the elements, uncorrected (eV per formula unit) = -6.6
- DOS at the Fermi energy (states/eV/cell) = 4.13

3.
Compound: TbSbN
Source: the Alexandria database
Functional: PBE-GGA
Structure: optimized geometry

Unit cell a=4.1351 b=4.1351 c=7.8496 alpha=90.00 beta=90.00 gamma=90.00
With the nearest neighbours (Å) after each atom.
Positions (direct):
Tb 0.2500 0.7500 0.3789  4 N 2.28
Tb 0.7500 0.2500 0.6211  4 N 2.28
Sb 0.2500 0.7500 0.9346  4 Sb 3.10
Sb 0.7500 0.2500 0.0654  4 Sb 3.10
N 0.7500 0.7500 0.5000  4 Tb 2.28
N 0.2500 0.2500 0.5000  4 Tb 2.28

Values from the calculation:
- energy relative to the elements, uncorrected (eV per formula unit) = -2.4
- relative energy among the computed polymorphs (meV/atom) = 131
- DOS at the Fermi energy (states/eV/cell) = 3.19

4.
Compound: TbSbN
Source: the Alexandria database
Functional: PBE-GGA
Structure: optimized geometry

Unit cell a=3.4881 b=3.4881 c=10.5326 alpha=99.53 beta=99.53 gamma=90.00
With the nearest neighbours (Å) after each atom.
Positions (direct):
Sb 0.0825 0.0825 0.1650  1 N 2.34
Sb 0.9175 0.9175 0.8350  1 N 2.34
Tb 0.6895 0.6895 0.3790  5 N 2.33-2.47
Tb 0.3105 0.3105 0.6210  5 N 2.33-2.47
N 0.8033 0.8033 0.6066  5 Tb 2.33-2.47, 1 Sb 2.34
N 0.1967 0.1967 0.3934  5 Tb 2.33-2.47, 1 Sb 2.34

Values from the calculation:
- energy relative to the elements, uncorrected (eV per formula unit) = -2.8
- relative energy among the computed polymorphs (meV/atom) = 0
- DOS at the Fermi energy (states/eV/cell) = 1.24